This record from Alexandria describes a relaxed structure of NaPdN2O. The functional is PBE-GGA.

The structure belongs to space group P4/mmm (No. 123); the cell edges are 3.847, 3.847 and 4.402 Å and the angles 90.00°, 90.00° and 90.00°. The distinct sites, in fractional coordinates, are Na at (0.000, 0.000, 0.000), Pd at (0.500, 0.500, 0.500), N at (0.000, 0.500, 0.500) and O at (0.500, 0.500, 0.000).

As for the formation energy without anion corrections: 1005 meV per atom. The magnetic moment is 0.00 μB per formula unit. The final energy is -4.620 eV per atom. The density of states at the Fermi level comes out at 5.19 states/eV per cell.

---

This record from Alexandria describes a relaxed structure of NaPdN2O. The functional is PBE-GGA.

The structure belongs to space group P4/mmm (No. 123); the cell edges are 4.071, 4.071 and 3.953 Å and the angles 90.00°, 90.00° and 90.00°. The distinct sites, in fractional coordinates, are Na at (0.000, 0.000, 0.000), Pd at (0.500, 0.500, 0.500), N at (0.000, 0.500, 0.000) and O at (0.000, 0.000, 0.500).

As for the formation energy without anion corrections: 2419 meV per atom. The magnetic moment is 0.00 μB per formula unit. The final energy is -3.205 eV per atom. The density of states at the Fermi level comes out at 8.32 states/eV per cell.

---

This record from Alexandria describes a relaxed structure of NaPtN2O. The functional is PBE-GGA.

The structure belongs to space group P4/mmm (No. 123); the cell edges are 4.022, 4.022 and 3.911 Å and the angles 90.00°, 90.00° and 90.00°. The distinct sites, in fractional coordinates, are Na at (0.000, 0.000, 0.000), Pt at (0.500, 0.500, 0.500), N at (0.000, 0.500, 0.000) and O at (0.000, 0.000, 0.500).

As for the formation energy without anion corrections: 2577 meV per atom. The magnetic moment is 0.00 μB per formula unit. The final energy is -3.216 eV per atom. The density of states at the Fermi level comes out at 8.50 states/eV per cell.

---

This record from Alexandria describes a relaxed structure of NaPtN2O. The functional is PBE-GGA.

The structure belongs to space group P4/mmm (No. 123); the cell edges are 3.794, 3.794 and 4.515 Å and the angles 90.00°, 90.00° and 90.00°. The distinct sites, in fractional coordinates, are Na at (0.000, 0.000, 0.000), Pt at (0.500, 0.500, 0.500), N at (0.000, 0.500, 0.500) and O at (0.500, 0.500, 0.000).

As for the formation energy without anion corrections: 726 meV per atom. The magnetic moment is 0.21 μB per formula unit. The final energy is -5.068 eV per atom. The density of states at the Fermi level comes out at 2.84 states/eV per cell.

---

This record from Alexandria describes a relaxed structure of NaPtNO2. The functional is PBE-GGA.

The structure belongs to space group P4/mmm (No. 123); the cell edges are 4.169, 4.169 and 3.699 Å and the angles 90.00°, 90.00° and 90.00°. The distinct sites, in fractional coordinates, are Na at (0.000, 0.000, 0.000), Pt at (0.500, 0.500, 0.500), N at (0.500, 0.500, 0.000) and O at (0.000, 0.500, 0.500).

As for the formation energy without anion corrections: 66 meV per atom. The magnetic moment is 0.65 μB per formula unit. The final energy is -5.055 eV per atom. The density of states at the Fermi level comes out at 3.70 states/eV per cell.

---

This record from Alexandria describes a relaxed structure of NaPtNO2. The functional is PBE-GGA.

The structure belongs to space group P4/mmm (No. 123); the cell edges are 3.969, 3.969 and 4.291 Å and the angles 90.00°, 90.00° and 90.00°. The distinct sites, in fractional coordinates, are Na at (0.000, 0.000, 0.000), Pt at (0.500, 0.500, 0.500), N at (0.000, 0.000, 0.500) and O at (0.000, 0.500, 0.000).

As for the formation energy without anion corrections: 1715 meV per atom. The magnetic moment is 4.86 μB per formula unit. The final energy is -3.406 eV per atom. The density of states at the Fermi level comes out at 4.11 states/eV per cell.

---

This record from Alexandria describes a relaxed structure of NaPuNO. The functional is PBE-GGA.

The structure belongs to space group R-3m (No. 166, hexagonal axes); the cell edges are 3.7506, 3.7506 and 27.5975 Å and the angles 90.00°, 90.00° and 120.00°. The distinct sites, in fractional coordinates, are Na at (0.0000, 0.0000, 0.1977), Pu at (0.0000, 0.0000, 0.3845), N at (0.0000, 0.0000, 0.3031) and O at (0.0000, 0.0000, 0.1063).

As for the formation energy without anion corrections: -1517 meV per atom. The magnetic moment is 4.00 μB per formula unit. The final energy is -8.751 eV per atom. The density of states at the Fermi level comes out at 31.56 states/eV per cell.

---

This record from Alexandria describes a relaxed structure of RbNaNO2. The functional is PBE-GGA.

The structure belongs to space group P4/mmm (No. 123); the cell edges are 4.570, 4.570 and 4.523 Å and the angles 90.00°, 90.00° and 90.00°. The distinct sites, in fractional coordinates, are Rb at (0.000, 0.000, 0.000), Na at (0.500, 0.500, 0.500), N at (0.500, 0.500, 0.000) and O at (0.000, 0.500, 0.500).

As for the formation energy without anion corrections: 918 meV per atom. The magnetic moment is 0.14 μB per formula unit. The final energy is -3.188 eV per atom. The density of states at the Fermi level comes out at 9.60 states/eV per cell.

---

This record from Alexandria describes a relaxed structure of RbNaNO2. The functional is PBE-GGA.

The structure belongs to space group P4/mmm (No. 123); the cell edges are 5.081, 5.081 and 5.333 Å and the angles 90.00°, 90.00° and 90.00°. The distinct sites, in fractional coordinates, are Rb at (0.000, 0.000, 0.000), Na at (0.500, 0.500, 0.500), N at (0.000, 0.000, 0.500) and O at (0.000, 0.500, 0.000).

As for the formation energy without anion corrections: 998 meV per atom. The magnetic moment is 5.00 μB per formula unit. The final energy is -3.108 eV per atom. The density of states at the Fermi level comes out at 4.24 states/eV per cell.

---

This record from Alexandria describes a relaxed structure of NaReNO2. The functional is PBE-GGA.

The structure belongs to space group P4/mmm (No. 123); the cell edges are 3.899, 3.899 and 3.863 Å and the angles 90.00°, 90.00° and 90.00°. The distinct sites, in fractional coordinates, are Na at (0.000, 0.000, 0.000), Re at (0.500, 0.500, 0.500), N at (0.500, 0.500, 0.000) and O at (0.000, 0.500, 0.500).

As for the formation energy without anion corrections: -1095 meV per atom. The magnetic moment is 0.00 μB per formula unit. The final energy is -7.496 eV per atom. The density of states at the Fermi level comes out at 1.55 states/eV per cell.

---

This record from Alexandria describes a relaxed structure of NaReN2O. The functional is PBE-GGA.

The structure belongs to space group P4/mmm (No. 123); the cell edges are 3.881, 3.881 and 3.939 Å and the angles 90.00°, 90.00° and 90.00°. The distinct sites, in fractional coordinates, are Na at (0.000, 0.000, 0.000), Re at (0.500, 0.500, 0.500), N at (0.000, 0.500, 0.500) and O at (0.500, 0.500, 0.000).

As for the formation energy without anion corrections: -451 meV per atom. The magnetic moment is 0.04 μB per formula unit. The final energy is -7.526 eV per atom. The density of states at the Fermi level comes out at 0.86 states/eV per cell.

---

This record from Alexandria describes a relaxed structure of NaReN2O. The functional is PBE-GGA.

The structure belongs to space group P4/mmm (No. 123); the cell edges are 3.891, 3.891 and 3.743 Å and the angles 90.00°, 90.00° and 90.00°. The distinct sites, in fractional coordinates, are Na at (0.000, 0.000, 0.000), Re at (0.500, 0.500, 0.500), N at (0.000, 0.500, 0.000) and O at (0.000, 0.000, 0.500).

As for the formation energy without anion corrections: 2499 meV per atom. The magnetic moment is 2.57 μB per formula unit. The final energy is -4.577 eV per atom. The density of states at the Fermi level comes out at 4.82 states/eV per cell.